# 1
A plane-wave DFT calculation with GGA-PBE was carried out for a relaxed PrScAl4 crystal.

Output
* size of the total moment: 0.000 μB per cell
* calculated formation energy: -0.447 eV/atom

abc: 7.860 7.860 7.860
angles: 90.00 90.00 90.00
Space group F-43m (No. 216)
Inequivalent atoms, fractional coordinates:
1 Pr 0.000 0.000 0.000 (multiplicity 4)
2 Sc 0.250 0.250 0.250 (multiplicity 4)
3 Al 0.125 0.125 0.625 (multiplicity 16)

***

# 2
A plane-wave DFT calculation with GGA-PBE was carried out for a relaxed PrSc4Al5 crystal.

Output
* size of the total moment: 0.000 μB per cell
* calculated formation energy: -0.418 eV/atom

abc: 3.450 3.450 17.321
angles: 90.00 90.00 90.00
Space group P4/mmm (No. 123)
Inequivalent atoms, fractional coordinates:
1 Pr 0.000 0.000 0.000 (multiplicity 1)
2 Sc 0.000 0.000 0.216 (multiplicity 2)
3 Sc 0.000 0.000 0.406 (multiplicity 2)
4 Al 0.500 0.500 0.123 (multiplicity 2)
5 Al 0.500 0.500 0.311 (multiplicity 2)
6 Al 0.500 0.500 0.500 (multiplicity 1)

***

# 3
A plane-wave DFT calculation with GGA-PBE was carried out for a relaxed PrScAl crystal.

Output
* size of the total moment: 2.779 μB per cell
* calculated formation energy: -0.189 eV/atom

abc: 3.485 3.485 26.091
angles: 90.00 90.00 90.00
Space group I4/mmm (No. 139)
Inequivalent atoms, fractional coordinates:
1 Pr 0.000 0.000 0.072 (multiplicity 4)
2 Sc 0.000 0.000 0.212 (multiplicity 4)
3 Al 0.000 0.000 0.350 (multiplicity 4)

***

# 4
A plane-wave DFT calculation with GGA-PBE was carried out for a relaxed PrScAl crystal.

Output
* size of the total moment: 0.000 μB per cell
* calculated formation energy: -0.208 eV/atom

abc: 3.383 3.383 13.321
angles: 90.00 90.00 90.00
Space group I4mm (No. 107)
Inequivalent atoms, fractional coordinates:
1 Pr 0.000 0.000 0.000 (multiplicity 2)
2 Sc 0.000 0.000 0.298 (multiplicity 2)
3 Al 0.000 0.000 0.667 (multiplicity 2)

***

# 5
A plane-wave DFT calculation with GGA-PBE was carried out for a relaxed PrSc5Al4 crystal.

Output
* size of the total moment: 0.000 μB per cell
* calculated formation energy: -0.348 eV/atom

abc: 3.387 3.387 18.655
angles: 90.00 90.00 90.00
Space group P4/mmm (No. 123)
Inequivalent atoms, fractional coordinates:
1 Pr 0.000 0.000 0.000 (multiplicity 1)
2 Sc 0.500 0.500 0.137 (multiplicity 2)
3 Sc 0.500 0.500 0.320 (multiplicity 2)
4 Sc 0.500 0.500 0.500 (multiplicity 1)
5 Al 0.000 0.000 0.228 (multiplicity 2)
6 Al 0.000 0.000 0.410 (multiplicity 2)

***

# 6
A plane-wave DFT calculation with GGA-PBE was carried out for a relaxed Pr3ScAl8 crystal.

Output
* size of the total moment: 0.001 μB per cell
* calculated formation energy: -0.466 eV/atom

abc: 5.6263 5.6263 27.7488
angles: 90.00 90.00 120.00
Space group R3m (No. 160, hexagonal axes)
Inequivalent atoms, fractional coordinates:
1 Pr 0.0000 0.0000 0.0000 (multiplicity 3)
2 Pr 0.0000 0.0000 0.1259 (multiplicity 3)
3 Pr 0.0000 0.0000 0.5018 (multiplicity 3)
4 Sc 0.0000 0.0000 0.6248 (multiplicity 3)
5 Al 0.0000 0.0000 0.3127 (multiplicity 3)
6 Al 0.0000 0.0000 0.8138 (multiplicity 3)
7 Al 0.0008 0.5004 0.5650 (multiplicity 9)
8 Al 0.1674 0.3349 0.3947 (multiplicity 9)

***

# 7
A plane-wave DFT calculation with GGA-PBE was carried out for a relaxed PrScAl2Si2 crystal.

Output
* size of the total moment: 0.000 μB per cell
* formation energy from raw total energies: -538 meV per atom

abc: 4.1772 4.1772 7.9118
angles: 90.00 90.00 120.00
Space group P-3m1 (No. 164)
Inequivalent atoms, fractional coordinates:
1 Pr 0.0000 0.0000 0.0000 (multiplicity 1)
2 Sc 0.0000 0.0000 0.5000 (multiplicity 1)
3 Al 0.3333 0.6667 0.7304 (multiplicity 2)
4 Si 0.3333 0.6667 0.2771 (multiplicity 2)

***

# 8
A plane-wave DFT calculation with GGA-PBE was carried out for a relaxed TbPrScAl crystal.

Output
* size of the total moment: 3.896 μB per cell
* calculated formation energy: -0.095 eV/atom

abc: 7.527 7.527 7.527
angles: 90.00 90.00 90.00
Space group F-43m (No. 216)
Inequivalent atoms, fractional coordinates:
1 Tb 0.000 0.000 0.000 (multiplicity 4)
2 Pr 0.000 0.000 0.500 (multiplicity 4)
3 Sc 0.250 0.250 0.750 (multiplicity 4)
4 Al 0.250 0.250 0.250 (multiplicity 4)

***

# 9
A plane-wave DFT calculation with GGA-PBE was carried out for a relaxed PrThScAl crystal.

Output
* size of the total moment: 0.000 μB per cell
* calculated formation energy: -0.032 eV/atom

abc: 7.587 7.587 7.587
angles: 90.00 90.00 90.00
Space group F-43m (No. 216)
Inequivalent atoms, fractional coordinates:
1 Pr 0.000 0.000 0.000 (multiplicity 4)
2 Th 0.000 0.000 0.500 (multiplicity 4)
3 Sc 0.250 0.250 0.250 (multiplicity 4)
4 Al 0.250 0.250 0.750 (multiplicity 4)

***

# 10
A plane-wave DFT calculation with GGA-PBE was carried out for a relaxed PrScAlTl crystal.

Output
* size of the total moment: 0.000 μB per cell
* calculated formation energy: -0.292 eV/atom

abc: 7.386 7.386 7.386
angles: 90.00 90.00 90.00
Space group F-43m (No. 216)
Inequivalent atoms, fractional coordinates:
1 Pr 0.000 0.000 0.000 (multiplicity 4)
2 Sc 0.000 0.000 0.500 (multiplicity 4)
3 Al 0.250 0.250 0.250 (multiplicity 4)
4 Tl 0.250 0.250 0.750 (multiplicity 4)

***

# 11
A plane-wave DFT calculation with GGA-PBE was carried out for a relaxed PrSc2Al2Zn2 crystal.

Output
* size of the total moment: 0.000 μB per cell
* calculated formation energy: -0.322 eV/atom

abc: 4.4568 4.4568 26.4360
angles: 90.00 90.00 120.00
Space group R-3m (No. 166, hexagonal axes)
Inequivalent atoms, fractional coordinates:
1 Pr 0.0000 0.0000 0.0000 (multiplicity 3)
2 Sc 0.0000 0.0000 0.1323 (multiplicity 6)
3 Al 0.0000 0.0000 0.2530 (multiplicity 6)
4 Zn 0.0000 0.0000 0.4144 (multiplicity 6)

***

# 12
A plane-wave DFT calculation with GGA-PBE was carried out for a relaxed PrScAlZn crystal.

Output
* size of the total moment: 0.000 μB per cell
* calculated formation energy: -0.331 eV/atom

abc: 7.138 7.138 7.138
angles: 90.00 90.00 90.00
Space group F-43m (No. 216)
Inequivalent atoms, fractional coordinates:
1 Pr 0.000 0.000 0.000 (multiplicity 4)
2 Sc 0.000 0.000 0.500 (multiplicity 4)
3 Al 0.250 0.250 0.250 (multiplicity 4)
4 Zn 0.250 0.250 0.750 (multiplicity 4)